Arrangement i

Ca2Tl2Ge: optimized geometry, PBE.

SG: P4/mbm, No. 127
N(E_F), states/eV/atom: 0.81

Cell and atoms, written as POSCAR:
```
Ca2Tl2Ge
1.0
7.9146 0.0000 0.0000
0.0000 7.9146 0.0000
0.0000 0.0000 4.8672
Tl Ca Ge
4 4 2
direct
0.1525 0.6525 0.5000
0.6525 0.8475 0.5000
0.8475 0.3475 0.5000
0.3475 0.1525 0.5000
0.3400 0.8400 0.0000
0.8400 0.6600 0.0000
0.6600 0.1600 0.0000
0.1600 0.3400 0.0000
0.0000 0.0000 0.0000
0.5000 0.5000 0.0000
```

***

Arrangement ii

Ca2Tl2Ge: optimized geometry, PBE.

SG: P4/mbm, No. 127
N(E_F), states/eV/atom: 0.54

Cell and atoms, written as POSCAR:
```
Ca2Tl2Ge
1.0
7.6964 0.0000 0.0000
0.0000 7.6964 0.0000
0.0000 0.0000 4.8560
Tl Ca Ge
4 4 2
direct
0.3614 0.8614 0.0000
0.8614 0.6386 0.0000
0.6386 0.1386 0.0000
0.1386 0.3614 0.0000
0.1709 0.6709 0.5000
0.6709 0.8291 0.5000
0.8291 0.3291 0.5000
0.3291 0.1709 0.5000
0.0000 0.0000 0.0000
0.5000 0.5000 0.0000
```

***

Tell me which of them is the least stable. Sure, it is arrangement i.

***

Arrangement i

CaTlGe3: optimized geometry, PBE.

SG: Pm-3m, No. 221
N(E_F), states/eV/atom: 0.76

Cell and atoms, written as POSCAR:
```
CaTlGe3
1.0
5.3605 0.0000 0.0000
0.0000 5.3605 0.0000
0.0000 0.0000 5.3605
Tl Ca Ge
1 1 3
direct
0.0000 0.0000 0.0000
0.5000 0.5000 0.5000
0.0000 0.5000 0.0000
0.0000 0.0000 0.5000
0.5000 0.0000 0.0000
```

***

Arrangement ii

CaTlGe3: optimized geometry, PBE.

SG: Pm-3m, No. 221
N(E_F), states/eV/atom: 0.95

Cell and atoms, written as POSCAR:
```
CaTlGe3
1.0
5.4683 0.0000 0.0000
0.0000 5.4683 0.0000
0.0000 0.0000 5.4683
Tl Ca Ge
1 1 3
direct
0.5000 0.5000 0.5000
0.0000 0.0000 0.0000
0.0000 0.5000 0.0000
0.0000 0.0000 0.5000
0.5000 0.0000 0.0000
```

***

Tell me which of them is the least stable. Sure, it is arrangement ii.

***

Arrangement i

CaTl2Ge2: optimized geometry, PBE.

SG: P4/mbm, No. 127
N(E_F), states/eV/atom: 0.35

Cell and atoms, written as POSCAR:
```
CaTl2Ge2
1.0
-1.1620 7.2493 2.4452
-4.9009 1.1939 -5.8684
-3.3616 -1.3903 2.5245
Tl Ca Ge
4 2 4
direct
0.1768 0.6768 0.5000
0.6768 0.8232 0.5000
0.8232 0.3232 0.5000
0.3232 0.1768 0.5000
0.0000 0.0000 0.0000
0.5000 0.5000 0.0000
0.3851 0.8851 0.0000
0.8851 0.6149 0.0000
0.6149 0.1149 0.0000
0.1149 0.3851 0.0000
```

***

Arrangement ii

CaTl2Ge2: optimized geometry, PBE.

SG: P4/mbm, No. 127
N(E_F), states/eV/atom: 0.63

Cell and atoms, written as POSCAR:
```
CaTl2Ge2
1.0
8.4759 0.0000 0.0000
0.0000 8.4759 0.0000
0.0000 0.0000 3.6679
Tl Ca Ge
4 2 4
direct
0.3676 0.8676 0.0000
0.8676 0.6324 0.0000
0.6324 0.1324 0.0000
0.1324 0.3676 0.0000
0.0000 0.0000 0.0000
0.5000 0.5000 0.0000
0.1660 0.6660 0.5000
0.6660 0.8340 0.5000
0.8340 0.3340 0.5000
0.3340 0.1660 0.5000
```

***

Tell me which of them is the least stable. Sure, it is arrangement ii.

***

Arrangement i

CaGe2W2: optimized geometry, PBE.

SG: P4/mbm, No. 127
N(E_F), states/eV/atom: 0.56

Cell and atoms, written as POSCAR:
```
CaGe2W2
1.0
7.8306 0.0000 0.0000
0.0000 7.8306 0.0000
0.0000 0.0000 2.9604
Ge Ca W
4 2 4
direct
0.1743 0.6743 0.5000
0.6743 0.8257 0.5000
0.8257 0.3257 0.5000
0.3257 0.1743 0.5000
0.0000 0.0000 0.0000
0.5000 0.5000 0.0000
0.3853 0.8853 0.0000
0.8853 0.6147 0.0000
0.6147 0.1147 0.0000
0.1147 0.3853 0.0000
```

***

Arrangement ii

CaGe2W2: optimized geometry, PBE.

SG: I4/mmm, No. 139
N(E_F), states/eV/atom: 0.59

Cell and atoms, written as POSCAR:
```
CaGe2W2
1.0
-3.0840 -3.4960 -1.0746
1.7841 -0.2109 -4.4340
2.3403 -4.9058 -1.4059
Ge Ca W
2 1 2
direct
0.7500 0.2500 0.5000
0.2500 0.7500 0.5000
0.0000 0.0000 0.0000
0.3685 0.3685 0.2631
0.6315 0.6315 0.7369
```

***

Tell me which of them is the least stable. Sure, it is arrangement i.

***

Arrangement i

CaGe3W: optimized geometry, PBE.

SG: Pm-3m, No. 221
N(E_F), states/eV/atom: 0.54

Cell and atoms, written as POSCAR:
```
CaGe3W
1.0
4.9286 0.0000 0.0000
0.0000 4.9286 0.0000
0.0000 0.0000 4.9286
Ge Ca W
3 1 1
direct
0.0000 0.5000 0.0000
0.0000 0.0000 0.5000
0.5000 0.0000 0.0000
0.5000 0.5000 0.5000
0.0000 0.0000 0.0000
```

***

Arrangement ii

CaGe3W: optimized geometry, PBE.

SG: Pm-3m, No. 221
N(E_F), states/eV/atom: 1.99

Cell and atoms, written as POSCAR:
```
CaGe3W
1.0
5.0015 0.0000 0.0000
0.0000 5.0015 0.0000
0.0000 0.0000 5.0015
Ge Ca W
3 1 1
direct
0.0000 0.5000 0.0000
0.0000 0.0000 0.5000
0.5000 0.0000 0.0000
0.0000 0.0000 0.0000
0.5000 0.5000 0.5000
```

***

Tell me which of them is the least stable. Sure, it is arrangement ii.

***

Arrangement i

CaGeW3: optimized geometry, PBE.

SG: Pm-3m, No. 221
N(E_F), states/eV/atom: 1.49

Cell and atoms, written as POSCAR:
```
CaGeW3
1.0
-0.0235 2.5633 -3.8942
-4.6618 -0.0627 -0.0132
-0.0596 3.8938 2.5634
Ge Ca W
1 1 3
direct
0.5000 0.5000 0.5000
0.0000 0.0000 0.0000
0.0000 0.5000 0.0000
0.0000 0.0000 0.5000
0.5000 0.0000 0.0000
```

***

Arrangement ii

CaGeW3: optimized geometry, PBE.

SG: Pm-3m, No. 221
N(E_F), states/eV/atom: 1.13

Cell and atoms, written as POSCAR:
```
CaGeW3
1.0
-2.1196 -2.6061 -3.3275
-1.7879 -2.8202 3.3476
-3.8298 2.7589 0.2788
Ge Ca W
1 1 3
direct
0.0000 0.0000 0.0000
0.5000 0.5000 0.5000
0.0000 0.5000 0.0000
0.0000 0.0000 0.5000
0.5000 0.0000 0.0000
```

***

Tell me which of them is the least stable. Sure, it is arrangement i.

***

Arrangement i

Ca2YGe2: optimized geometry, PBE.

SG: I4/mmm, No. 139
N(E_F), states/eV/atom: 0.81

Cell and atoms, written as POSCAR:
```
Ca2YGe2
1.0
4.4854 0.0000 0.0000
0.0000 4.4854 0.0000
2.2427 2.2427 6.4328
Y Ge Ca
1 2 2
direct
0.0000 0.0000 0.0000
0.4051 0.4051 0.1898
0.5949 0.5949 0.8102
0.7500 0.2500 0.5000
0.2500 0.7500 0.5000
```

***

Arrangement ii

Ca2YGe2: optimized geometry, PBE.

SG: P4/mbm, No. 127
N(E_F), states/eV/atom: 0.51

Cell and atoms, written as POSCAR:
```
Ca2YGe2
1.0
8.4849 0.0000 0.0000
0.0000 8.4849 0.0000
0.0000 0.0000 3.6426
Y Ge Ca
2 4 4
direct
0.0000 0.0000 0.0000
0.5000 0.5000 0.0000
0.3296 0.8296 0.0000
0.8296 0.6704 0.0000
0.6704 0.1704 0.0000
0.1704 0.3296 0.0000
0.1344 0.6344 0.5000
0.6344 0.8656 0.5000
0.8656 0.3656 0.5000
0.3656 0.1344 0.5000
```

***

Tell me which of them is the least stable. Sure, it is arrangement i.

***

Arrangement i

Ca3YGe: optimized geometry, PBE.

SG: Pm-3m, No. 221
N(E_F), states/eV/atom: 1.82

Cell and atoms, written as POSCAR:
```
Ca3YGe
1.0
5.7224 0.0000 0.0000
0.0000 5.7224 0.0000
0.0000 0.0000 5.7224
Y Ge Ca
1 1 3
direct
0.5000 0.5000 0.5000
0.0000 0.0000 0.0000
0.0000 0.5000 0.0000
0.0000 0.0000 0.5000
0.5000 0.0000 0.0000
```

***

Arrangement ii

Ca3YGe: optimized geometry, PBE.

SG: Pm-3m, No. 221
N(E_F), states/eV/atom: 0.49

Cell and atoms, written as POSCAR:
```
Ca3YGe
1.0
6.0145 0.0000 0.0000
0.0000 6.0145 0.0000
0.0000 0.0000 6.0145
Y Ge Ca
1 1 3
direct
0.0000 0.0000 0.0000
0.5000 0.5000 0.5000
0.0000 0.5000 0.0000
0.0000 0.0000 0.5000
0.5000 0.0000 0.0000
```

***

Tell me which of them is the least stable. Sure, it is arrangement ii.